An optimized crystal structure of Pu3TcRh2, computed with PBE.

a = 3.4398 Å, b = 3.4398 Å, c = 10.0082 Å
α = 90.00°, β = 90.00°, γ = 90.00°
Positions (direct):
1 Tc 0.5000 0.5000 0.5000
2 Pu 0.0000 0.0000 0.6670
3 Pu 0.0000 0.0000 0.3330
4 Rh 0.5000 0.5000 0.8313
5 Pu 0.0000 0.0000 0.0000
6 Rh 0.5000 0.5000 0.1687

Summary:
The formation energy is -0.259 eV per atom.